First-principles (SCAN) data for MnAl2Fe at its PBEsol-relaxed geometry, as listed in the Alexandria database.

The structure belongs to space group I-4m2 (No. 119); the cell edges are 3.587, 3.587 and 7.876 Å and the angles 90.00°, 90.00° and 90.00°. The inequivalent atoms are Mn at (0.000, 0.000, 0.000), Al at (0.000, 0.000, 0.500), Al at (0.000, 0.500, 0.250) and Fe at (0.000, 0.500, 0.750).

Its volume is 12.667 Å³ per atom. The value obtained for the formation enthalpy at 0 K is -375 meV per atom.